Record 1
Compound: TbAu2
Source: OQMD
Functional: PBE-GGA
Structure: optimized geometry

Structure (POSCAR):
```
TbAu2
1.0
0.000 3.730 0.000
3.730 0.000 0.000
-1.865 -1.865 -4.529
Au Tb
2 1
Direct
0.667 0.667 0.334
0.333 0.333 0.666
0.000 0.000 0.000
```

Computed properties:
**Space group**: I4/mmm, No. 139
**E**: -13.739 eV per formula unit
**DFT formation energy**: -859 meV per atom


Record 2
Compound: TbAu
Source: OQMD
Functional: PBE-GGA
Structure: optimized geometry

Structure (POSCAR):
```
TbAu
1.0
-0.137 -4.574 0.075
-3.731 -2.202 -1.475
0.134 -2.358 -3.920
Au Tb
1 1
Direct
0.000 0.000 0.000
0.250 0.250 0.250
```

Computed properties:
**Space group**: F-43m, No. 216
**E**: -8.411 eV per formula unit
**DFT formation energy**: -257 meV per atom


Record 3
Compound: TbTlTe4Au3
Source: OQMD
Functional: PBE-GGA
Structure: optimized geometry

Structure (POSCAR):
```
TbTlTe4Au3
1.0
-3.310 -3.869 3.671
6.910 -3.647 2.387
2.413 8.692 6.297
Au Tb Te Tl
6 2 8 2
Direct
0.296 0.561 0.026
0.296 0.939 0.026
0.426 0.750 0.272
0.574 0.250 0.728
0.704 0.061 0.974
0.704 0.439 0.974
0.900 0.750 0.183
0.100 0.250 0.817
0.066 0.250 0.089
0.635 0.033 0.234
0.635 0.467 0.234
0.192 0.750 0.446
0.808 0.250 0.554
0.365 0.533 0.766
0.365 0.967 0.766
0.934 0.750 0.911
0.253 0.250 0.434
0.747 0.750 0.566
```

Computed properties:
**Polymorph energy (0 for the lowest one)**: 0 meV per atom
**Space group**: P2_1/m, No. 11
**E**: -32.852 eV per formula unit


Record 4
Compound: TbTlTe4Au3
Source: OQMD
Functional: PBE-GGA
Structure: optimized geometry

Structure (POSCAR):
```
TbTlTe4Au3
1.0
6.733 0.000 0.000
0.000 6.733 0.000
0.000 0.000 6.733
Au Tb Te Tl
3 1 4 1
Direct
0.500 0.500 0.000
0.500 0.000 0.500
0.000 0.500 0.500
0.500 0.500 0.500
0.254 0.254 0.254
0.746 0.746 0.254
0.746 0.254 0.746
0.254 0.746 0.746
0.000 0.000 0.000
```

Computed properties:
**Polymorph energy (0 for the lowest one)**: 60 meV per atom
**Space group**: P-43m, No. 215
**E**: -32.313 eV per formula unit


Record 5
Compound: TbThAu
Source: OQMD
Functional: PBE-GGA
Structure: optimized geometry

Structure (POSCAR):
```
TbThAu
1.0
0.000 3.484 3.484
3.484 0.000 3.484
3.484 3.484 0.000
Au Tb Th
1 1 1
Direct
0.000 0.000 0.000
0.250 0.250 0.250
0.500 0.500 0.500
```

Computed properties:
**Space group**: F-43m, No. 216
**E**: -14.408 eV per formula unit
**DFT formation energy**: 300 meV per atom


Record 6
Compound: TbTmAu
Source: OQMD
Functional: PBE-GGA
Structure: optimized geometry

Structure (POSCAR):
```
TbTmAu
1.0
7.104 0.000 0.000
0.000 4.916 0.000
0.000 0.000 8.846
Au Tb Tm
4 4 4
Direct
0.253 0.750 0.099
0.753 0.750 0.401
0.247 0.250 0.599
0.747 0.250 0.901
0.514 0.250 0.177
0.014 0.250 0.323
0.986 0.750 0.677
0.486 0.750 0.823
0.852 0.750 0.080
0.352 0.750 0.420
0.648 0.250 0.580
0.148 0.250 0.920
```

Computed properties:
**Polymorph energy (0 for the lowest one)**: 0 meV per atom
**Space group**: Pnma, No. 62
**E**: -14.326 eV per formula unit
**DFT formation energy**: -652 meV per atom